First-principles (GGA-PBE) data for a relaxed TaRe2Cl crystal, as listed in the Alexandria database.

Cell lengths 2.8972, 2.8972, 28.5285 Å; angles 90.00, 90.00, 120.00 degrees
Last column: nearest neighbours and their distance in Å.
Space group R3m (No. 160, hexagonal axes)
Asymmetric unit:
Ta  0.0000  0.0000  0.0000 x3  3 Cl 2.52
Re  0.0000  0.0000  0.2491 x3  9 Re 2.63-2.90, 3 Ta 2.93
Re  0.0000  0.0000  0.5112 x3  9 Re 2.63-2.90
Cl  0.0000  0.0000  0.7327 x3  3 Ta 2.52

Output
Distance to the lowest polymorph of the same formula (eV per formula unit): 0.000
E_form (uncorrected) (eV per atom): 0.113